The following is a PBE calculation of an optimized crystal structure of La2C, from the Alexandria database.

```
La2C
1.0
-3.9827 0.1757 -0.4480
-2.4360 -7.1905 0.8745
-3.3375 2.0952 12.5303
C La
4 8
direct
0.1867 0.5000 0.6266
0.4367 0.0000 0.1266
0.3133 0.5000 0.3734
0.5633 0.0000 0.8734
0.8652 0.5000 0.2696
0.6348 0.5000 0.7304
0.1152 0.0000 0.7696
0.3805 0.2389 0.0000
0.8848 0.0000 0.2304
0.1305 0.7389 0.5000
0.6195 0.7611 0.0000
0.3695 0.2611 0.5000
```

Computed properties:
Space-group type: No. 70
Formation energy in eV/atom: 0.154
M_tot in μB/cell: 3.4